# 1
Here is a geometry-optimized LiYO structure from Alexandria. Energies are from PBE.

Results
The relative energy among the computed polymorphs comes out at 0.010 eV/atom.

Unit cell a=3.2874 b=5.5717 c=5.8726 alpha=108.35 beta=105.95 gamma=90.09
Space group P-1 (No. 2)
Symmetry-distinct sites (fractional):
Li (0.1442, 0.3455, 0.2924) x2
Y (0.4131, 0.1904, 0.8228) x2
O (0.0000, 0.0000, 0.0000) x1
O (0.0000, 0.5000, 0.0000) x1



# 2
Here is a geometry-optimized LiYO structure from Alexandria. Energies are from PBE.

Results
The relative energy among the computed polymorphs comes out at 0.012 eV/atom.

Unit cell a=3.3451 b=3.3451 c=4.2119 alpha=90.00 beta=90.00 gamma=90.00
Space group P4/mmm (No. 123)
Symmetry-distinct sites (fractional):
Li (0.0000, 0.0000, 0.0000) x1
Y (0.5000, 0.5000, 0.5000) x1
O (0.0000, 0.0000, 0.5000) x1



# 3
Here is a geometry-optimized LiY5O8 structure from Alexandria. Energies are from PBE.

Unit cell a=7.1316 b=7.1316 c=6.9856 alpha=90.00 beta=90.00 gamma=90.00
Space group I-4 (No. 82)
Symmetry-distinct sites (fractional):
Li (0.0000, 0.0000, 0.0000) x2
Y (0.0000, 0.5000, 0.2500) x2
Y (0.1499, 0.7467, 0.6312) x8
O (0.0633, 0.6865, 0.9427) x8
O (0.0679, 0.8028, 0.3236) x8



| no. | E_form (uncorrected) (eV/f.u.) | spin magnetization (μB per formula unit) | E_tot (eV per cell) |
| --- | --- | --- | --- |
| 1 | -5.64 | 0.00 | -37.947 |
| 2 | -5.63 | 0.00 | -18.967 |
| 3 | -45.15 | 0.00 | -238.094 |